This record from the Alexandria database describes crystalline Pa2FeSi5 at its relaxed geometry. The functional is PBE-GGA. Values from VASP.

Properties
- E_form (uncorrected) (meV per atom) = -400
- symmetry = I4mm

The structure in Quantum ESPRESSO input format:
```
&SYSTEM
  ibrav = 0, nat = 8, ntyp = 3
/
ATOMIC_SPECIES
Pa 231.04 Pa.upf
Fe 55.84 Fe.upf
Si 28.09 Si.upf
ATOMIC_POSITIONS angstrom
Pa 2.874 0.000 0.000
Pa 0.000 2.874 0.000
Fe 0.000 0.000 2.318
Si 1.614 1.614 2.178
Si 1.260 -1.260 6.422
Si 0.000 0.000 4.566
Si -1.260 1.260 6.422
Si 1.260 1.260 6.422
CELL_PARAMETERS angstrom
-2.874 2.874 4.243
2.874 -2.874 4.243
2.874 2.874 -4.243
```